Compound: Ba16Pd3Au5
Source: Alexandria via LeMat-Bulk
Functional: PBE
Structure: optimized geometry

Values from the calculation:
Final energy (eV/cell): -74.38
Formation energy (meV per atom): -485
Size of the total moment (μB per atom): 0.000
Volume (Å³/cell): 1174

Unit cell a=9.419 b=9.419 c=15.315 alpha=90.08 beta=90.08 gamma=59.80
Atoms (fractional coordinates):
Ba 0.000 0.000 0.000
Ba 0.001 0.001 0.498
Ba 0.014 0.481 0.009
Ba 0.161 0.161 0.271
Ba 0.166 0.670 0.267
Ba 0.323 0.323 0.768
Ba 0.325 0.837 0.767
Ba 0.481 0.014 0.009
Ba 0.486 0.486 0.011
Ba 0.499 0.977 0.508
Ba 0.505 0.505 0.506
Ba 0.658 0.658 0.271
Ba 0.670 0.166 0.267
Ba 0.833 0.833 0.762
Ba 0.837 0.325 0.767
Ba 0.977 0.499 0.508
Pd 0.163 0.163 0.886
Pd 0.331 0.829 0.386
Pd 0.829 0.331 0.386
Au 0.162 0.661 0.884
Au 0.329 0.329 0.147
Au 0.661 0.162 0.884
Au 0.662 0.662 0.645
Au 0.829 0.829 0.385